{"formula": "Sc3PW", "functional": "PBEsol", "state": "optimized geometry", "cell": [[4.750, 0.000, 0.000], [0.000, 4.750, 0.000], [0.000, 0.000, 4.750]], "species": ["Sc", "P", "W", "Sc", "Sc"], "frac_coords": [[0.500, 0.000, 0.000], [0.000, 0.000, 0.000], [0.500, 0.500, 0.500], [0.000, 0.000, 0.500], [0.000, 0.500, 0.000]], "total_energy_ev_per_atom": -7.620, "n_ef_per_ev_atom": 1.5788}

***

{"formula": "ScP2W", "functional": "PBEsol", "state": "optimized geometry", "cell": [[5.517, 0.000, 0.000], [0.000, 5.517, 0.000], [-2.759, -2.759, 5.738]], "species": ["W", "P", "P", "P", "P", "Sc", "Sc", "W"], "frac_coords": [[0.000, 0.000, 0.000], [0.625, 0.663, 0.750], [0.913, 0.375, 0.250], [0.125, 0.087, 0.750], [0.337, 0.875, 0.250], [0.500, 0.500, 0.000], [0.750, 0.250, 0.500], [0.250, 0.750, 0.500]], "total_energy_ev_per_atom": -8.116, "n_ef_per_ev_atom": 0.8195}

***

{"formula": "ScPW2", "functional": "PBEsol", "state": "optimized geometry", "cell": [[4.427, 0.000, 0.000], [2.214, 3.834, 0.000], [2.214, 1.278, 3.615]], "species": ["P", "W", "W", "Sc"], "frac_coords": [[0.500, 0.500, 0.500], [0.750, 0.750, 0.750], [0.000, 0.000, 0.000], [0.250, 0.250, 0.250]], "total_energy_ev_per_atom": -9.915, "n_ef_per_ev_atom": 0.7713}

***

{"formula": "Sc2PW", "functional": "PBEsol", "state": "optimized geometry", "cell": [[3.907, 0.000, 0.000], [0.000, 3.907, 0.000], [-1.953, -1.953, 4.375]], "species": ["Sc", "W", "P", "Sc"], "frac_coords": [[0.000, 0.000, 0.000], [0.500, 0.500, 0.000], [0.250, 0.750, 0.500], [0.750, 0.250, 0.500]], "total_energy_ev_per_atom": -8.350, "n_ef_per_ev_atom": 0.9639}

***

{"formula": "ScPW2", "functional": "PBEsol", "state": "optimized geometry", "cell": [[2.975, 0.002, 0.000], [0.001, 4.548, 0.000], [-1.488, -2.275, 4.691]], "species": ["W", "Sc", "P", "W"], "frac_coords": [[0.500, 0.000, 0.500], [0.500, 0.000, 0.000], [0.000, 0.500, 0.000], [0.000, 0.500, 0.500]], "total_energy_ev_per_atom": -9.879, "n_ef_per_ev_atom": 0.6414}

***

{"formula": "YSc2P", "functional": "PBEsol", "state": "optimized geometry", "cell": [[3.498, 0.000, 0.000], [0.000, 3.498, 0.000], [0.000, 0.000, 6.972]], "species": ["Y", "P", "Sc", "Sc"], "frac_coords": [[0.000, 0.000, 0.538], [0.500, 0.500, 0.799], [0.500, 0.500, 0.214], [0.000, 0.000, 0.949]], "total_energy_ev_per_atom": -7.080, "n_ef_per_ev_atom": 0.9495}